MgSn2Pb (PBE-GGA, optimized geometry); N(E_F) = 5.051 states/eV/cell; total DFT energy (no corrections) = -3.038 eV/atom; total moment = 0.00 μB/f.u.; energy of formation = 0.289 eV/atom
1.0
-3.5930 3.5930 5.7390
3.5930 -3.5930 5.7390
3.5930 3.5930 -5.7390
Mg Sn Pb
2 4 2
direct
0.0000 0.0000 0.0000
0.7500 0.2500 0.5000
0.1180 0.6250 0.9930
0.3750 0.3680 0.4930
0.6320 0.1250 0.0070
0.8750 0.8820 0.5070
0.2500 0.7500 0.5000
0.5000 0.5000 0.0000